# BaTaCl2 SCAN PBEsol geometry
data_BaTaCl2
_chemical_formula_sum 'Ba2 Ta2 Cl4'
_space_group_name_H-M_alt 'I m m 2'
_space_group_IT_number 44
_cell_length_a 3.2651
_cell_length_b 3.9593
_cell_length_c 13.8686
_cell_angle_alpha 90.00
_cell_angle_beta 90.00
_cell_angle_gamma 90.00
loop_
_space_group_symop_operation_xyz
'x,y,z'
'-x,-y,z'
'-x,y,z'
'x,-y,z'
'x+1/2,y+1/2,z+1/2'
'-x+1/2,-y+1/2,z+1/2'
'-x+1/2,y+1/2,z+1/2'
'x+1/2,-y+1/2,z+1/2'
loop_
_atom_site_label
_atom_site_type_symbol
_atom_site_fract_x
_atom_site_fract_y
_atom_site_fract_z
Ba1 Ba 0.0000 0.0000 0.0000
Ta1 Ta 0.0000 0.5000 0.2648
Cl1 Cl 0.0000 0.0000 0.3685
Cl2 Cl 0.0000 0.5000 0.6887
# **Magnetic moment**: 0.0606 μB per atom
# **Energy**: -123.4 eV per formula unit
# **ΔE_f (raw)**: -320.8 meV/atom